1.
K2ReI2Br4 | GGA-PBE | optimized geometry

Lattice parameters (Å, degrees): 7.8594 7.6565 7.6565 59.83 61.13 61.13
With the nearest neighbours (Å) after each atom.
Sites, in units of the cell vectors:
1 Br 0.3143 0.7262 0.1954  1 Re 2.54
2 K 0.7135 0.2547 0.2547  4 Br 3.45-3.48, 1 I 3.63
3 K 0.2865 0.7453 0.7453  4 Br 3.45-3.48, 1 I 3.63
4 I 0.1868 0.2420 0.2420  1 Re 2.75
5 Br 0.6857 0.2738 0.8046  1 Re 2.54
6 Br 0.6857 0.8046 0.2738  1 Re 2.54
7 I 0.8132 0.7580 0.7580  1 Re 2.75
8 Re 0.5000 0.0000 0.0000  4 Br 2.54, 2 I 2.75
9 Br 0.3143 0.1954 0.7262  1 Re 2.54

Results
Energy relative to the elements, uncorrected = -0.85 eV/atom
Space group = C2/m, No. 12
Crystal system = monoclinic
Magnetic moment = 3.000 Bohr magnetons per cell


2.
TmZr2Sc3 | GGA-PBE | optimized geometry

Lattice parameters (Å, degrees): 6.1618 10.2265 6.5844 80.81 122.17 121.14
With the nearest neighbours (Å) after each atom.
Sites, in units of the cell vectors:
1 Sc 0.0328 0.2876 0.0709  6 Zr 3.19-3.24, 4 Sc 3.20-3.48, 2 Tm 3.25-3.48
2 Zr 0.6440 0.3924 0.5979  7 Sc 3.20-3.26, 4 Zr 3.20-3.31, 1 Tm 3.26
3 Sc 0.6817 0.9324 0.2327  6 Sc 3.20-3.48, 2 Zr 3.25-3.26, 4 Tm 3.29
4 Sc 0.9580 0.7133 0.4274  6 Zr 3.20-3.24, 4 Sc 3.20-3.47, 2 Tm 3.25-3.47
5 Sc 0.0420 0.2867 0.5726  6 Zr 3.20-3.24, 4 Sc 3.20-3.47, 2 Tm 3.25-3.47
6 Tm 0.3154 0.0660 0.2665  8 Sc 3.25-3.48, 2 Zr 3.26, 2 Tm 3.29-3.30
7 Sc 0.3183 0.0676 0.7673  6 Sc 3.20-3.48, 2 Zr 3.25-3.26, 4 Tm 3.29
8 Zr 0.3560 0.6076 0.4021  7 Sc 3.20-3.26, 4 Zr 3.20-3.31, 1 Tm 3.26
9 Tm 0.6846 0.9340 0.7335  8 Sc 3.25-3.48, 2 Zr 3.26, 2 Tm 3.29-3.30
10 Sc 0.9672 0.7124 0.9291  6 Zr 3.19-3.24, 4 Sc 3.20-3.48, 2 Tm 3.25-3.48
11 Zr 0.3588 0.6080 0.9014  7 Sc 3.19-3.25, 4 Zr 3.20-3.31, 1 Tm 3.26
12 Zr 0.6412 0.3920 0.0986  7 Sc 3.19-3.25, 4 Zr 3.20-3.31, 1 Tm 3.26

Results
Energy relative to the lowest polymorph listed for this composition = 0 meV/atom
Space group = P-1, No. 2
Formation energy from the elements = -4 meV per atom
Crystal system = triclinic
Magnetic moment = 0.000 Bohr magnetons per cell


3.
TbScAgAu | GGA-PBE | optimized geometry

Lattice parameters (Å, degrees): 4.9928 4.9928 4.9928 60.00 60.00 60.00
With the nearest neighbours (Å) after each atom.
Sites, in units of the cell vectors:
1 Au 0.7500 0.7500 0.7500  4 Tb 3.06, 4 Sc 3.06
2 Sc 0.0000 0.0000 0.0000  4 Ag 3.06, 4 Au 3.06
3 Tb 0.5000 0.5000 0.5000  4 Ag 3.06, 4 Au 3.06
4 Ag 0.2500 0.2500 0.2500  4 Tb 3.06, 4 Sc 3.06

Results
Energy relative to the lowest polymorph listed for this composition = 18 meV/atom
Space group = F-43m, No. 216
Formation energy from the elements = -540 meV per atom
Crystal system = cubic
Magnetic moment = 0.000 Bohr magnetons per cell


4.
Ga2Co2Ni | GGA-PBE | optimized geometry

Lattice parameters (Å, degrees): 3.5347 3.5347 6.0964 73.15 73.15 90.00
With the nearest neighbours (Å) after each atom.
Sites, in units of the cell vectors:
1 Co 0.4020 0.4020 0.1960  1 Co 2.18
2 Ga 0.7500 0.2500 0.5000  4 Co 2.45, 4 Ga 2.50
3 Co 0.5980 0.5980 0.8040  1 Co 2.18
4 Ni 0.0000 0.0000 0.0000  8 Co 2.73
5 Ga 0.2500 0.7500 0.5000  4 Co 2.45, 4 Ga 2.50

Results
Energy relative to the lowest polymorph listed for this composition = 573 meV/atom
Space group = I4/mmm, No. 139
Formation energy from the elements = 352 meV per atom
Crystal system = tetragonal
Magnetic moment = 2.736 Bohr magnetons per cell


5.
MnPN2 | GGA-PBE | optimized geometry

Lattice parameters (Å, degrees): 6.0397 6.0397 6.0397 25.33 25.33 25.33
With the nearest neighbours (Å) after each atom.
Sites, in units of the cell vectors:
1 N 0.8887 0.8887 0.8887  3 P 1.81, 1 Mn 1.95
2 N 0.1113 0.1113 0.1113  3 P 1.81, 1 Mn 1.95
3 Mn 0.0000 0.0000 0.0000  2 N 1.95
4 P 0.5000 0.5000 0.5000  6 N 1.81

Results
Energy relative to the elements, uncorrected = 0.13 eV/atom
Space group = R-3m, No. 166
Crystal system = trigonal
Magnetic moment = 0.004 Bohr magnetons per cell


6.
Ba2Sr3Ca5 | GGA-PBE | optimized geometry

Lattice parameters (Å, degrees): 7.2058 12.8365 12.8365 104.47 73.70 73.70
With the nearest neighbours (Å) after each atom.
Sites, in units of the cell vectors:
1 Sr 0.2500 0.0000 0.0000  2 Ca 3.55, 2 Sr 3.60
2 Sr 0.0957 0.2411 0.5676  7 Ca 4.00-4.32, 2 Ba 4.28-4.32
3 Ba 0.0955 0.7326 0.0764  3 Ca 4.02-4.18, 4 Sr 4.15-4.32, 2 Ba 4.48
4 Sr 0.5957 0.5676 0.2411  7 Ca 4.00-4.32, 2 Ba 4.28-4.32
5 Ca 0.4959 0.2541 0.2541  5 Ca 3.44-3.77, 1 Sr 3.55
6 Ca 0.7500 0.5000 0.5000  4 Ca 3.44-3.60
7 Ca 0.9959 0.2541 0.2541  5 Ca 3.44-3.77, 1 Sr 3.55
8 Sr 0.4043 0.4324 0.7589  7 Ca 4.00-4.32, 2 Ba 4.28-4.32
9 Ca 0.2538 0.4091 0.0833  2 Ca 3.77, 3 Ba 4.02-4.18, 1 Sr 4.11
10 Ca 0.0041 0.7459 0.7459  5 Ca 3.44-3.77, 1 Sr 3.55
11 Ca 0.2462 0.9167 0.5909  2 Ca 3.77, 3 Ba 4.02-4.18, 1 Sr 4.11
12 Sr 0.7500 0.0000 0.0000  2 Ca 3.55, 2 Sr 3.60
13 Ba 0.4045 0.9236 0.2674  3 Ca 4.02-4.18, 4 Sr 4.15-4.32, 2 Ba 4.48
14 Ca 0.7538 0.0833 0.4091  2 Ca 3.77, 3 Ba 4.02-4.18, 1 Sr 4.11
15 Sr 0.9043 0.7589 0.4324  7 Ca 4.00-4.32, 2 Ba 4.28-4.32
16 Ca 0.7462 0.5909 0.9167  2 Ca 3.77, 3 Ba 4.02-4.18, 1 Sr 4.11
17 Ca 0.5041 0.7459 0.7459  5 Ca 3.44-3.77, 1 Sr 3.55
18 Ba 0.5955 0.0764 0.7326  3 Ca 4.02-4.18, 4 Sr 4.15-4.32, 2 Ba 4.48
19 Ca 0.2500 0.5000 0.5000  4 Ca 3.44-3.60
20 Ba 0.9045 0.2674 0.9236  3 Ca 4.02-4.18, 4 Sr 4.15-4.32, 2 Ba 4.48

Results
Energy relative to the lowest polymorph listed for this composition = 84 meV/atom
Space group = Ibam, No. 72
Formation energy from the elements = 134 meV per atom
Crystal system = orthorhombic
Magnetic moment = 0.000 Bohr magnetons per cell


7.
Y2TeBr | GGA-PBE | optimized geometry

Lattice parameters (Å, degrees): 6.6634 6.6634 8.1978 66.02 66.02 90.00
With the nearest neighbours (Å) after each atom.
Sites, in units of the cell vectors:
1 Te 0.7500 0.2500 0.5000  4 Y 2.95
2 Y 0.8750 0.8609 0.7500  2 Br 2.84, 2 Te 2.95
3 Br 0.5000 0.5000 0.0000  4 Y 2.84
4 Te 0.0000 0.0000 0.0000  4 Y 2.95
5 Br 0.2500 0.7500 0.5000  4 Y 2.84
6 Y 0.1391 0.6250 0.2500  2 Br 2.84, 2 Te 2.95
7 Y 0.3750 0.3891 0.7500  2 Br 2.84, 2 Te 2.95
8 Y 0.6109 0.1250 0.2500  2 Br 2.84, 2 Te 2.95

Results
Energy relative to the lowest polymorph listed for this composition = 474 meV/atom
Energy relative to the elements, uncorrected = -0.70 eV/atom
Space group = I-42d, No. 122
Crystal system = tetragonal
Magnetic moment = 0.000 Bohr magnetons per cell


8.
Er2MnAlS6 | GGA-PBE | optimized geometry

Lattice parameters (Å, degrees): 6.4170 6.6650 6.9698 58.94 60.71 59.53
With the nearest neighbours (Å) after each atom.
Sites, in units of the cell vectors:
1 S 0.6695 0.0928 0.7874  1 Al 2.44, 1 Mn 2.59, 2 Er 2.67-2.70
2 Er 0.0292 0.0216 0.9283  6 S 2.67-2.76
3 Er 0.5296 0.5139 0.4303  6 S 2.66-2.80
4 S 0.1874 0.9549 0.2653  1 Mn 2.44, 1 Al 2.44, 1 Er 2.69
5 Al 0.3182 0.3210 0.0432  6 S 2.33-2.58
6 S 0.0809 0.4662 0.7586  1 Mn 2.37, 1 Al 2.58
7 S 0.5966 0.1899 0.2632  1 Mn 2.44, 1 Al 2.45, 1 Er 2.71
8 Mn 0.8155 0.8306 0.5414  5 S 2.37-2.59
9 S 0.4600 0.6944 0.7488  1 Mn 2.37, 1 Al 2.54
10 S 0.9746 0.5764 0.2487  1 Al 2.33

Results
Energy relative to the elements, uncorrected = -1.33 eV/atom
Space group = P1, No. 1
Crystal system = triclinic
Magnetic moment = 4.000 Bohr magnetons per cell